[1]
VASP calculation (PBE) on a relaxed structure of Cu2WC.

Summary:
Electronic total energy   -54.5 eV for the cell shown
Calculated density   11.38 g/cm3
ΔH_f (0 K)   0.781 eV per atom
Symmetry   I-42d (122)

Cell and atoms, written as POSCAR:
```
Cu2WC
1.0
6.593 0.000 0.000
0.000 6.593 0.000
3.296 3.296 2.169
C Cu W
2 4 2
direct
0.500 0.500 0.000 C
0.250 0.750 0.500 C
0.545 0.125 0.250 Cu
0.205 0.625 0.250 Cu
0.375 0.455 0.750 Cu
0.875 0.795 0.750 Cu
0.000 0.000 0.000 W
0.750 0.250 0.500 W
```

---

[2]
VASP calculation (PBE) on a relaxed structure of CuWC2.

Summary:
Electronic total energy   -64.3 eV for the cell shown
Calculated density   8.97 g/cm3
ΔH_f (0 K)   0.839 eV per atom
Symmetry   I-42d (122)
ΔE to the lowest computed polymorph   0 meV/atom

Cell and atoms, written as POSCAR:
```
CuWC2
1.0
-0.082 2.995 3.604
-3.384 -2.531 2.027
1.431 -2.273 4.969
C Cu W
4 2 2
direct
0.637 0.125 0.250 C
0.113 0.625 0.250 C
0.375 0.363 0.750 C
0.875 0.887 0.750 C
0.500 0.500 0.000 Cu
0.250 0.750 0.500 Cu
0.000 0.000 0.000 W
0.750 0.250 0.500 W
```

---

[3]
VASP calculation (PBE) on a relaxed structure of Cu3WC.

Summary:
Electronic total energy   -29.6 eV for the cell shown
Calculated density   10.85 g/cm3
ΔH_f (0 K)   0.970 eV per atom
Symmetry   Pm-3m (221)
ΔE to the lowest computed polymorph   0 meV/atom

Cell and atoms, written as POSCAR:
```
Cu3WC
1.0
3.896 0.000 0.000
0.000 3.896 0.000
0.000 0.000 3.896
C Cu W
1 3 1
direct
0.000 0.000 0.000 C
0.000 0.500 0.000 Cu
0.000 0.000 0.500 Cu
0.500 0.000 0.000 Cu
0.500 0.500 0.500 W
```

---

[4]
VASP calculation (PBE) on a relaxed structure of CuW2C.

Summary:
Electronic total energy   -69.0 eV for the cell shown
Calculated density   11.36 g/cm3
ΔH_f (0 K)   1.184 eV per atom
Symmetry   I-42d (122)

Cell and atoms, written as POSCAR:
```
CuW2C
1.0
4.784 0.000 0.000
0.000 4.784 0.000
2.392 2.392 5.660
C Cu W
2 2 4
direct
0.500 0.500 0.000 C
0.250 0.750 0.500 C
0.000 0.000 0.000 Cu
0.750 0.250 0.500 Cu
0.533 0.125 0.250 W
0.217 0.625 0.250 W
0.375 0.467 0.750 W
0.875 0.783 0.750 W
```

---

[5]
VASP calculation (PBE) on a relaxed structure of CuWC3.

Summary:
Electronic total energy   -31.2 eV for the cell shown
Calculated density   9.17 g/cm3
ΔH_f (0 K)   2.694 eV per atom
Symmetry   Pm-3m (221)
ΔE to the lowest computed polymorph   692 meV/atom

Cell and atoms, written as POSCAR:
```
CuWC3
1.0
-0.093 1.812 -3.242
0.438 -3.215 -1.810
-3.688 -0.428 -0.134
C Cu W
3 1 1
direct
0.000 0.500 0.000 C
0.000 0.000 0.500 C
0.500 0.000 0.000 C
0.000 0.000 0.000 Cu
0.500 0.500 0.500 W
```

---

[6]
VASP calculation (PBE) on a relaxed structure of CuWC.

Summary:
Electronic total energy   -49.5 eV for the cell shown
Calculated density   12.13 g/cm3
ΔH_f (0 K)   0.513 eV per atom
Symmetry   R-3m (166)

Cell and atoms, written as POSCAR:
```
CuWC
1.0
3.731 0.000 0.000
1.865 3.231 0.000
1.865 1.077 5.890
W C Cu
2 2 2
direct
0.611 0.611 0.168 W
0.389 0.389 0.832 W
0.271 0.271 0.188 C
0.729 0.729 0.812 C
0.847 0.847 0.460 Cu
0.153 0.153 0.540 Cu
```

---

[7]
VASP calculation (PBE) on a relaxed structure of YCu2C.

Summary:
Electronic total energy   -44.7 eV for the cell shown
Calculated density   5.89 g/cm3
ΔH_f (0 K)   0.382 eV per atom
Symmetry   I4_1/amd (141)

Cell and atoms, written as POSCAR:
```
YCu2C
1.0
-4.297 0.380 -0.945
-0.124 -4.262 -1.150
-3.719 -3.573 5.160
Y C Cu
2 2 4
direct
0.000 0.000 0.000 Y
0.750 0.250 0.500 Y
0.500 0.500 0.000 C
0.250 0.750 0.500 C
0.375 0.125 0.250 Cu
0.375 0.625 0.250 Cu
0.375 0.625 0.750 Cu
0.875 0.625 0.750 Cu
```

---

[8]
VASP calculation (PBE) on a relaxed structure of Y3CuC.

Summary:
Electronic total energy   -33.2 eV for the cell shown
Calculated density   4.93 g/cm3
ΔH_f (0 K)   -0.094 eV per atom
Symmetry   Pm-3m (221)
ΔE to the lowest computed polymorph   0 meV/atom

Cell and atoms, written as POSCAR:
```
Y3CuC
1.0
4.867 0.000 0.000
0.000 4.867 0.000
0.000 0.000 4.867
Y C Cu
3 1 1
direct
0.000 0.500 0.000 Y
0.000 0.000 0.500 Y
0.500 0.000 0.000 Y
0.000 0.000 0.000 C
0.500 0.500 0.500 Cu
```

---

Question: What is the calculated density in the eighth record?
Answer: 4.93 g/cm3

---

Question: Which formula does entry 4 have?
Answer: CuW2C